# KHfSeO5

A relaxed KHfSeO5 crystal (PBE-GGA, Alexandria).

Unit cell a=6.004 b=6.004 c=7.931 alpha=106.52 beta=106.52 gamma=103.64
Sites, in units of the cell vectors:
K (0.176, 0.824, 0.750)
K (0.824, 0.176, 0.250)
Hf (0.500, 0.500, 0.000)
Hf (0.500, 0.500, 0.500)
Se (0.196, 0.804, 0.250)
Se (0.804, 0.196, 0.750)
O (0.112, 0.266, 0.892)
O (0.198, 0.624, 0.410)
O (0.266, 0.112, 0.392)
O (0.376, 0.802, 0.090)
O (0.459, 0.541, 0.750)
O (0.541, 0.459, 0.250)
O (0.624, 0.198, 0.910)
O (0.734, 0.888, 0.608)
O (0.802, 0.376, 0.590)
O (0.888, 0.734, 0.108)

Output
ΔE_f (raw) = -1.849 eV/atom

=====

# MnCdPt

A relaxed MnCdPt crystal (PBE-GGA, Alexandria).

Unit cell a=3.875 b=12.387 c=4.171 alpha=90.00 beta=90.00 gamma=90.00
Sites, in units of the cell vectors:
Mn (0.000, 0.074, 0.250)
Mn (0.000, 0.926, 0.750)
Mn (0.500, 0.426, 0.750)
Mn (0.500, 0.574, 0.250)
Cd (0.000, 0.251, 0.750)
Cd (0.000, 0.749, 0.250)
Cd (0.500, 0.249, 0.250)
Cd (0.500, 0.751, 0.750)
Pt (0.000, 0.422, 0.250)
Pt (0.000, 0.578, 0.750)
Pt (0.500, 0.078, 0.750)
Pt (0.500, 0.922, 0.250)

Output
calculated formation energy = -0.18 eV/atom

=====

Please write out number 2 again, unchanged.
# MnCdPt

A relaxed MnCdPt crystal (PBE-GGA, Alexandria).

Unit cell a=3.875 b=12.387 c=4.171 alpha=90.00 beta=90.00 gamma=90.00
Sites, in units of the cell vectors:
Mn (0.000, 0.074, 0.250)
Mn (0.000, 0.926, 0.750)
Mn (0.500, 0.426, 0.750)
Mn (0.500, 0.574, 0.250)
Cd (0.000, 0.251, 0.750)
Cd (0.000, 0.749, 0.250)
Cd (0.500, 0.249, 0.250)
Cd (0.500, 0.751, 0.750)
Pt (0.000, 0.422, 0.250)
Pt (0.000, 0.578, 0.750)
Pt (0.500, 0.078, 0.750)
Pt (0.500, 0.922, 0.250)

Output
calculated formation energy = -0.18 eV/atom